First-principles (GGA-PBE) data for TbYMgTc after structural relaxation, as listed in the Alexandria database.

Output
Calculated total energy: -23.06 eV per cell
Volume: 22.8 Å³/atom
Total magnetization: 0.000 μB per atom
Density of states at the Fermi level: 2.5 states/eV per cell

a b c (Å): 5.051 5.051 5.051
angles (deg): 60.00 60.00 60.00
Sites, in units of the cell vectors:
Y 0.750 0.750 0.750
Mg 0.000 0.000 0.000
Tb 0.250 0.250 0.250
Tc 0.500 0.500 0.500